(1)
This record from Alexandria via LeMat-Bulk describes a geometry-optimized Ac2PaGaPt6 structure. The functional is PBE.

Cell: 7.0416 7.0672 8.9154 Å, 50.68 50.93 83.02°
Closest atoms and distances in Å follow each position.
Fractional coordinates of all 10 atoms:
Pt1 0.7371 0.7492 0.0046  1 Ga 2.60, 1 Pa 2.68, 3 Pt 2.76-2.91
Pt2 0.7491 0.7372 0.5092  1 Ga 2.60, 1 Pa 2.68, 3 Pt 2.76-2.91
Ac1 0.7680 0.2321 0.4500  6 Pt 3.20-3.42
Pa1 0.0000 0.0000 0.0000  6 Pt 2.68
Ga1 0.5000 0.5000 0.0000  6 Pt 2.60-2.61
Pt3 0.7451 0.2549 0.8612  1 Ga 2.61, 1 Pa 2.68, 2 Pt 2.80
Pt4 0.2629 0.2508 0.9954  1 Ga 2.60, 1 Pa 2.68, 3 Pt 2.76-2.91
Pt5 0.2549 0.7451 0.1388  1 Ga 2.61, 1 Pa 2.68, 2 Pt 2.80
Ac2 0.2320 0.7679 0.5500  6 Pt 3.20-3.42
Pt6 0.2509 0.2628 0.4908  1 Ga 2.60, 1 Pa 2.68, 3 Pt 2.76-2.91

Results
DOS at the Fermi energy   0.73 states/eV per atom
SG   C2/m (12)
E_form   -835 kJ/mol of formula units

***

(2)
This record from Alexandria via LeMat-Bulk describes a geometry-optimized Rb2BiPt2 structure. The functional is PBE.

Cell: 7.0424 6.2482 8.4560 Å, 98.10 90.00 124.30°
Closest atoms and distances in Å follow each position.
Fractional coordinates of all 10 atoms:
Pt1 0.0009 0.7174 0.0043  1 Pt 2.70, 2 Bi 2.80-2.83
Pt2 0.2835 0.2826 0.4957  1 Pt 2.70, 2 Bi 2.80-2.83
Rb1 0.4810 0.7228 0.8639  5 Pt 3.27-3.57
Pt3 0.7165 0.7174 0.5043  1 Pt 2.70, 2 Bi 2.80-2.83
Pt4 0.9991 0.2826 0.9957  1 Pt 2.70, 2 Bi 2.80-2.83
Bi1 0.0799 0.0000 0.7500  4 Pt 2.80-2.83
Rb2 0.7582 0.2772 0.6361  5 Pt 3.27-3.57
Rb3 0.2418 0.7228 0.3639  5 Pt 3.27-3.57
Rb4 0.5190 0.2772 0.1361  5 Pt 3.27-3.57
Bi2 0.9201 0.0000 0.2500  4 Pt 2.80-2.83

Results
DOS at the Fermi energy   0.34 states/eV per atom
SG   C2/c (15)
E_form   -98 kJ/mol of formula units
Excess energy over the best structure of this formula in the dataset   0.000 eV/atom

***

(3)
This record from Alexandria via LeMat-Bulk describes a geometry-optimized Ta2NiH structure. The functional is PBE.

Cell: 2.9039 2.9039 7.1026 Å, 78.20 78.20 60.00°
Closest atoms and distances in Å follow each position.
Fractional coordinates of all 4 atoms:
Ta1 0.2686 0.2686 0.1942  3 H 2.15
Ta2 0.7314 0.7314 0.8058  3 H 2.15
Ni1 0.5000 0.5000 0.5000  6 Ta 2.70, 6 Ni 2.90
H1 0.0000 0.0000 0.0000  6 Ta 2.15

Results
DOS at the Fermi energy   0.86 states/eV per atom
SG   R-3m (166)
Excess energy over the best structure of this formula in the dataset   0.000 eV/atom

***

(4)
This record from Alexandria via LeMat-Bulk describes a geometry-optimized K2SbHRh structure. The functional is PBE.

Cell: 6.0238 3.4484 6.0238 Å, 90.00 90.00 90.00°
Closest atoms and distances in Å follow each position.
Fractional coordinates of all 5 atoms:
K1 0.5000 0.0000 0.0000  2 H 3.01
Rh1 0.0000 0.5000 0.0000  2 H 1.72
K2 0.0000 0.0000 0.5000  2 H 3.01
H1 0.0000 0.0000 0.0000  2 Rh 1.72
Sb1 0.5000 0.5000 0.5000  2 Sb 3.45, 8 K 3.47

Results
DOS at the Fermi energy   0.91 states/eV per atom
Electronic total energy   -3.23 eV/atom
SG   P4/mmm (123)

***

(5)
This record from Alexandria via LeMat-Bulk describes a geometry-optimized TlO2F structure. The functional is PBE.

Cell: 4.0009 4.0009 4.0009 Å, 60.00 60.00 60.00°
Closest atoms and distances in Å follow each position.
Fractional coordinates of all 4 atoms:
O1 0.7500 0.7500 0.7500  4 Tl 2.45, 4 F 2.45
O2 0.2500 0.2500 0.2500  4 Tl 2.45, 4 F 2.45
F1 0.0000 0.0000 0.0000  8 O 2.45
Tl1 0.5000 0.5000 0.5000  8 O 2.45

Results
DOS at the Fermi energy   0.64 states/eV per atom
Raw formation energy   0.10 eV/f.u.
SG   Fm-3m (225)
Excess energy over the best structure of this formula in the dataset   0.278 eV/atom

***

(6)
This record from Alexandria via LeMat-Bulk describes a geometry-optimized TaInAg3 structure. The functional is PBE.

Cell: 5.0183 5.0183 5.0183 Å, 90.00 90.00 90.00°
Closest atoms and distances in Å follow each position.
Fractional coordinates of all 5 atoms:
Ag1 0.0000 0.5000 0.0000  2 In 2.51
In1 0.0000 0.0000 0.0000  6 Ag 2.51
Ta1 0.5000 0.5000 0.5000  12 Ag 3.55
Ag2 0.0000 0.0000 0.5000  2 In 2.51
Ag3 0.5000 0.0000 0.0000  2 In 2.51

Results
DOS at the Fermi energy   1.03 states/eV per atom
SG   Pm-3m (221)
E_form   689 kJ/mol of formula units
Excess energy over the best structure of this formula in the dataset   0.130 eV/atom